NaPd2Pt2: optimized geometry, PBE-GGA.

Cell: 7.9396 7.9396 2.7677 Å, 90.00 90.00 90.00°
Atoms (fractional coordinates):
Na  0.0000  0.0000  0.0000
Pt  0.3792  0.8792  0.0000
Pt  0.6208  0.1208  0.0000
Pd  0.6795  0.8205  0.5000
Pt  0.1208  0.3792  0.0000
Pd  0.3205  0.1795  0.5000
Pd  0.8205  0.3205  0.5000
Na  0.5000  0.5000  0.0000
Pt  0.8792  0.6208  0.0000
Pd  0.1795  0.6795  0.5000

Calculated values
Total moment   0.00 μB/f.u.
Crystal system   tetragonal
Total energy   -4.845 eV per atom